[1]
## La2Ge3Ir4Rh (GGA-PBE)

Data for a geometry-optimized La2Ge3Ir4Rh structure.

Summary:
SG ... P-4m2, No. 115
Formation energy ... -0.698 eV/atom

a = 4.261 Å, b = 4.261 Å, c = 10.480 Å
α = 90.00°, β = 90.00°, γ = 90.00°
Sites, in units of the cell vectors:
La 0.500 0.000 0.250
La 0.000 0.500 0.750
Ge 0.000 0.000 0.500
Ge 0.500 0.000 0.871
Ge 0.000 0.500 0.129
Ir 0.500 0.500 0.000
Ir 0.000 0.000 0.000
Ir 0.500 0.000 0.635
Ir 0.000 0.500 0.365
Rh 0.500 0.500 0.500



[2]
## Sc2WBr (GGA-PBE)

Data for a geometry-optimized Sc2WBr structure.

Summary:
SG ... Cmmm, No. 65
Relative energy among the computed polymorphs ... 8.34 kJ/mol of atoms

a = 3.196 Å, b = 3.196 Å, c = 8.493 Å
α = 90.00°, β = 90.00°, γ = 108.45°
Sites, in units of the cell vectors:
Br 0.500 0.500 0.750
Sc 0.000 0.000 0.017
Sc 0.000 0.000 0.483
W 0.500 0.500 0.250



[3]
## GaBi2IrOs (GGA-PBE)

Data for a geometry-optimized GaBi2IrOs structure.

Summary:
SG ... P4/mmm, No. 123
Formation energy ... 1.195 eV/atom

a = 5.320 Å, b = 4.646 Å, c = 5.320 Å
α = 90.00°, β = 90.00°, γ = 90.00°
Each line ends with the local moment (μB).
Sites, in units of the cell vectors:
Ir 0.000 0.000 0.000  -0.05
Os 0.500 0.500 0.500  1.83
Bi 0.000 0.000 0.500  -0.06
Bi 0.500 0.000 0.000  -0.08
Ga 0.000 0.500 0.000  0.01



[4]
## EuZnSi (GGA-PBE)

Data for a geometry-optimized EuZnSi structure.

Summary:
SG ... F-43m, No. 216
Final energy ... -17.7 eV per formula unit

a = 4.649 Å, b = 4.649 Å, c = 4.649 Å
α = 60.00°, β = 60.00°, γ = 60.00°
Each line ends with the local moment (μB).
Sites, in units of the cell vectors:
Eu 0.500 0.500 0.500  6.77
Zn 0.000 0.000 0.000  0.00
Si 0.250 0.250 0.250  -0.03



[5]
## CrRhCl2 (GGA-PBE)

Data for a geometry-optimized CrRhCl2 structure.

Summary:
SG ... Cmmm, No. 65
Relative energy among the computed polymorphs ... 40.87 kJ/mol of atoms

a = 3.375 Å, b = 3.375 Å, c = 7.763 Å
α = 90.00°, β = 90.00°, γ = 122.09°
Each line ends with the local moment (μB).
Sites, in units of the cell vectors:
Cr 0.500 0.500 0.250  3.81
Rh 0.500 0.500 0.750  -1.25
Cl 0.000 0.000 0.019  -0.02
Cl 0.000 0.000 0.481  -0.02



[6]
## BaMgSi2 (GGA-PBE)

Data for a geometry-optimized BaMgSi2 structure.

Summary:
SG ... Fm-3m, No. 225
Final energy ... -13.7 eV per formula unit

a = 5.202 Å, b = 5.202 Å, c = 5.202 Å
α = 60.00°, β = 60.00°, γ = 60.00°
Sites, in units of the cell vectors:
Mg 0.000 0.000 0.000
Si 0.250 0.250 0.250
Si 0.750 0.750 0.750
Ba 0.500 0.500 0.500



[7]
## Pm3Pr4Ho2 (GGA-PBE)

Data for a geometry-optimized Pm3Pr4Ho2 structure.

Summary:
SG ... P3m1, No. 156
Relative energy among the computed polymorphs ... 5.15 kJ/mol of atoms
Formation energy ... 0.069 eV/atom

a = 3.647 Å, b = 3.647 Å, c = 27.242 Å
α = 90.00°, β = 90.00°, γ = 120.00°
Sites, in units of the cell vectors:
Pm 0.000 0.000 0.983
Pm 0.000 0.000 0.320
Pm 0.667 0.333 0.656
Pr 0.000 0.000 0.545
Pr 0.667 0.333 0.432
Pr 0.667 0.333 0.211
Pr 0.000 0.000 0.769
Ho 0.667 0.333 0.086
Ho 0.667 0.333 0.875



[8]
## RbZn2Ag (GGA-PBE)

Data for a geometry-optimized RbZn2Ag structure.

Summary:
SG ... Fm-3m, No. 225
Relative energy among the computed polymorphs ... 31.63 kJ/mol of atoms
Formation energy ... 0.311 eV/atom

a = 5.295 Å, b = 5.295 Å, c = 5.295 Å
α = 60.00°, β = 60.00°, γ = 60.00°
Sites, in units of the cell vectors:
Zn 0.250 0.250 0.250
Zn 0.750 0.750 0.750
Rb 0.000 0.000 0.000
Ag 0.500 0.500 0.500



[9]
## BeMoPb2 (GGA-PBE)

Data for a geometry-optimized BeMoPb2 structure.

Summary:
SG ... P2/m, No. 10
Formation energy ... 0.776 eV/atom

a = 3.617 Å, b = 3.612 Å, c = 7.032 Å
α = 59.26°, β = 90.00°, γ = 90.00°
Sites, in units of the cell vectors:
Pb 0.000 0.997 0.004
Pb 0.000 0.503 0.496
Be 0.500 0.250 0.250
Mo 0.500 0.750 0.750



[10]
## Sr2LaSb (GGA-PBE)

Data for a geometry-optimized Sr2LaSb structure.

Summary:
SG ... R-3m, No. 166
Final energy ... -13.3 eV per formula unit

a = 11.777 Å, b = 11.777 Å, c = 11.777 Å
α = 20.00°, β = 20.00°, γ = 20.00°
Each line ends with the local moment (μB).
Sites, in units of the cell vectors:
La 0.250 0.250 0.250  0.25
Sb 0.750 0.750 0.750  0.03
Sr 0.017 0.017 0.017  0.03
Sr 0.483 0.483 0.483  0.03



[11]
## Sm7Ho4Sc (GGA-PBE)

Data for a geometry-optimized Sm7Ho4Sc structure.

Summary:
SG ... C2/m, No. 12
Relative energy among the computed polymorphs ... 19.62 kJ/mol of atoms
Formation energy ... 0.219 eV/atom

a = 5.874 Å, b = 9.654 Å, c = 8.566 Å
α = 61.07°, β = 69.95°, γ = 72.29°
Each line ends with the local moment (μB).
Sites, in units of the cell vectors:
Sm 0.790 0.875 0.545  0.00
Sm 0.210 0.125 0.455  0.00
Sm 0.079 0.567 0.275  0.00
Sm 0.921 0.433 0.725  0.00
Sm 0.202 0.780 0.816  0.01
Sm 0.500 0.000 0.000  0.10
Sm 0.798 0.220 0.184  0.01
Ho 0.575 0.302 0.548  0.01
Ho 0.425 0.698 0.452  0.01
Ho 0.675 0.604 0.046  0.01
Ho 0.325 0.396 0.954  0.01
Sc 0.000 0.000 0.000  0.18



[12]
## MnCrI3 (GGA-PBE)

Data for a geometry-optimized MnCrI3 structure.

Summary:
SG ... Pm-3m, No. 221
Final energy ... -19.7 eV per formula unit

a = 5.290 Å, b = 5.290 Å, c = 5.290 Å
α = 90.00°, β = 90.00°, γ = 90.00°
Each line ends with the local moment (μB).
Sites, in units of the cell vectors:
I 0.000 0.500 0.000  -0.05
I 0.000 0.000 0.500  -0.01
I 0.500 0.000 0.000  -0.07
Cr 0.500 0.500 0.500  4.31
Mn 0.000 0.000 0.000  0.30